Computed, not measured: an optimized crystal structure of RbLiPbS2 at the PBE level of DFT.

Summary:
Uncorrected energy = -39.167 eV per cell
Total moment = 0.00 μB/f.u.

a b c (Å): 4.2910 8.0454 9.1870
angles (deg): 90.32 90.00 105.47
Positions (direct):
Rb 0.3243 0.6487 0.3160
Rb 0.6757 0.3513 0.6840
Li 0.6965 0.3930 0.0647
Li 0.3035 0.6070 0.9353
Pb 0.0587 0.1174 0.2153
Pb 0.9413 0.8826 0.7847
S 0.3466 0.6931 0.6762
S 0.6534 0.3069 0.3238
S 0.1432 0.2865 0.9647
S 0.8568 0.7135 0.0353

Computed, not measured: an optimized crystal structure of RbTlCo2Br6 at the PBE level of DFT.

Summary:
Uncorrected energy = -69.110 eV per cell
Total moment = 6.00 μB/f.u.

a b c (Å): 10.0823 10.0823 7.4973
angles (deg): 99.05 99.05 87.71
Site moments in Bohr magnetons follow the coordinates.
Positions (direct):
Rb 0.1825 0.8175 0.2500  0.00
Rb 0.8175 0.1825 0.7500  0.00
Tl 0.6045 0.3955 0.2500  0.02
Tl 0.3955 0.6045 0.7500  0.02
Co 0.2928 0.1316 0.7537  2.39
Co 0.8684 0.7072 0.7463  2.39
Co 0.7072 0.8684 0.2463  2.39
Co 0.1316 0.2928 0.2537  2.39
Br 0.9159 0.3815 0.1616  0.12
Br 0.6185 0.0841 0.3384  0.12
Br 0.0841 0.6185 0.8384  0.12
Br 0.3815 0.9159 0.6616  0.12
Br 0.1878 0.1101 0.0232  0.14
Br 0.8899 0.8122 0.4768  0.14
Br 0.8122 0.8899 0.9768  0.14
Br 0.1101 0.1878 0.5232  0.14
Br 0.2894 0.4689 0.3194  0.10
Br 0.5311 0.7106 0.1806  0.10
Br 0.7106 0.5311 0.6806  0.10
Br 0.4689 0.2894 0.8194  0.10

Computed, not measured: an optimized crystal structure of MgZrScGe2 at the PBE level of DFT.

Summary:
Uncorrected energy = -22.156 eV per cell
Total moment = 0.00 μB/f.u.

a b c (Å): 4.8214 4.9807 4.8214
angles (deg): 90.00 90.00 90.00
Positions (direct):
Sc 0.0000 0.5000 0.0000
Ge 0.0000 0.0000 0.5000
Ge 0.5000 0.0000 0.0000
Mg 0.0000 0.0000 0.0000
Zr 0.5000 0.5000 0.5000

Computed, not measured: an optimized crystal structure of Ca3VGa at the PBE level of DFT.

Summary:
Total moment = 3.98 μB/f.u.
Energy relative to the lowest polymorph listed for this composition = 0.000 eV per atom

a b c (Å): 5.6677 5.6677 5.6677
angles (deg): 90.00 90.00 90.00
Site moments in Bohr magnetons follow the coordinates.
Positions (direct):
Ca 0.0000 0.5000 0.0000  0.00
Ca 0.0000 0.0000 0.5000  0.00
Ca 0.5000 0.0000 0.0000  0.00
Ga 0.0000 0.0000 0.0000  -0.16
V 0.5000 0.5000 0.5000  3.10

Computed, not measured: an optimized crystal structure of SmPu6Se8 at the PBE level of DFT.

Summary:
Uncorrected energy = -142.381 eV per cell
Total moment = 34.41 μB/f.u.

a b c (Å): 8.3019 8.3019 8.3019
angles (deg): 60.00 60.00 60.00
Site moments in Bohr magnetons follow the coordinates.
Positions (direct):
Sm 0.0000 0.0000 0.0000  0.15
Pu 0.0000 0.5000 0.5000  5.44
Pu 0.5000 0.0000 0.0000  5.44
Pu 0.5000 0.5000 0.0000  5.44
Pu 0.0000 0.0000 0.5000  5.44
Pu 0.0000 0.5000 0.0000  5.44
Pu 0.5000 0.0000 0.5000  5.44
Se 0.7500 0.7500 0.7500  -0.11
Se 0.2500 0.2500 0.2500  -0.11
Se 0.7486 0.2514 0.2514  -0.09
Se 0.2514 0.7486 0.7486  -0.09
Se 0.2514 0.2514 0.7486  -0.09
Se 0.7486 0.7486 0.2514  -0.09
Se 0.7486 0.2514 0.7486  -0.09
Se 0.2514 0.7486 0.2514  -0.09

Computed, not measured: an optimized crystal structure of Cs2HgAu5 at the PBE level of DFT.

Summary:
Uncorrected energy = -19.782 eV per cell
Total moment = 0.00 μB/f.u.

a b c (Å): 10.0722 7.9263 10.1297
angles (deg): 133.29 148.63 60.15
Positions (direct):
Cs 0.4025 0.5181 0.1148
Cs 0.6538 0.4853 0.8352
Hg 0.0210 0.9948 0.9733
Au 0.1607 0.0396 0.3892
Au 0.4061 0.0283 0.1155
Au 0.6501 0.0412 0.8825
Au 0.9111 0.0278 0.6197
Au 0.7947 0.0879 0.2927

Computed, not measured: an optimized crystal structure of KHgAu at the PBE level of DFT.

Summary:
Total moment = 0.00 μB/f.u.
Energy relative to the lowest polymorph listed for this composition = 0.229 eV per atom

a b c (Å): 5.5164 5.5164 5.5164
angles (deg): 60.00 60.00 60.00
Positions (direct):
Au 0.0000 0.0000 0.0000
Hg 0.5000 0.5000 0.5000
K 0.7500 0.7500 0.7500

Computed, not measured: an optimized crystal structure of Sr2Ga2N3 at the PBE level of DFT.

Summary:
Uncorrected energy = -73.977 eV per cell
Total moment = 0.00 μB/f.u.

a b c (Å): 6.9525 6.1702 5.9603
angles (deg): 90.00 60.41 90.00
Positions (direct):
Sr 0.9066 0.6556 0.8251
Sr 0.4066 0.8444 0.8251
Sr 0.5934 0.1556 0.1749
Sr 0.0934 0.3444 0.1749
Ga 0.5772 0.3702 0.6654
Ga 0.9228 0.8702 0.3346
Ga 0.0772 0.1298 0.6654
Ga 0.4228 0.6298 0.3346
N 0.5000 0.5000 0.0000
N 0.0000 0.0000 0.0000
N 0.7733 0.0991 0.6211
N 0.7267 0.5991 0.3789
N 0.2733 0.4009 0.6211
N 0.2267 0.9009 0.3789

Computed, not measured: an optimized crystal structure of Mg6AlGa2 at the PBE level of DFT.

Summary:
Total moment = 0.00 μB/f.u.
Energy relative to the lowest polymorph listed for this composition = 0.000 eV per atom

a b c (Å): 4.2246 5.3259 9.3223
angles (deg): 73.56 90.00 113.37
Positions (direct):
Mg 0.6678 0.3356 0.9419
Mg 0.3322 0.6644 0.0581
Mg 0.0010 0.0020 0.1784
Mg 0.3324 0.6647 0.3950
Mg 0.9990 0.9980 0.8216
Mg 0.6676 0.3353 0.6050
Al 0.0000 0.0000 0.5000
Ga 0.3345 0.6690 0.7160
Ga 0.6655 0.3310 0.2840

Question: What is the formula in the second record?
Answer: RbTlCo2Br6

Question: Which value of total moment does entry 6 give?
Answer: 0.00 μB/f.u.

Question: Look up the total moment of the first one.
Answer: 0.00 μB/f.u.